No. 1
NdTm2Tl after structural relaxation. Source: Alexandria, functional PBE-GGA.

The structure belongs to space group Fm-3m (No. 225); the cell edges are 7.7258, 7.7258 and 7.7258 Å and the angles 90.00°, 90.00° and 90.00°. The inequivalent atoms are Nd at (0.0000, 0.0000, 0.0000), Tm at (0.2500, 0.2500, 0.2500) and Tl at (0.0000, 0.0000, 0.5000).

For the formation energy, the calculation gives 0.0227 eV/atom. As for the crystal system: cubic.

***

No. 2
Pa2S3O after structural relaxation. Source: Alexandria, functional PBE-GGA.

The structure belongs to space group Cmmm (No. 65); the cell edges are 4.0438, 17.9033 and 3.6117 Å and the angles 90.00°, 90.00° and 90.00°. The inequivalent atoms are Pa at (0.0000, 0.0929, 0.0000), S at (0.0000, 0.3471, 0.5000), S at (0.0000, 0.5000, 0.0000) and O at (0.0000, 0.0000, 0.5000).

As for the crystal system: orthorhombic.

***

No. 3
Er3BeGa3 after structural relaxation. Source: Alexandria, functional PBE-GGA.

The structure belongs to space group Imm2 (No. 44); the cell edges are 4.0862, 4.0914 and 17.7181 Å and the angles 90.00°, 90.00° and 90.00°. The inequivalent atoms are Er at (0.0000, 0.0000, 0.0000), Er at (0.0000, 0.0000, 0.3683), Er at (0.0000, 0.5000, 0.6804), Be at (0.0000, 0.5000, 0.1142), Ga at (0.0000, 0.0000, 0.5464), Ga at (0.0000, 0.0000, 0.8268) and Ga at (0.0000, 0.5000, 0.2408).

For the formation energy, the calculation gives -0.5014 eV/atom. As for the crystal system: orthorhombic.

***

No. 4
Zn3Ag2Au4 after structural relaxation. Source: Alexandria, functional PBE-GGA.

The structure belongs to space group P-1 (No. 2); the cell edges are 4.0705, 5.0574 and 8.3582 Å and the angles 76.75°, 76.10° and 66.83°. The inequivalent atoms are Zn at (0.0000, 0.0000, 0.0000), Zn at (0.3409, 0.7564, 0.5597), Ag at (0.3244, 0.1228, 0.2279), Au at (0.0260, 0.2973, 0.6555) and Au at (0.3352, 0.4437, 0.8858).

For the formation energy, the calculation gives -0.1349 eV/atom. As for the crystal system: triclinic.

***

No. 5
TaCdTe2 after structural relaxation. Source: Alexandria, functional PBE-GGA.

The structure belongs to space group P2/m (No. 10); the cell edges are 3.3749, 3.3680 and 9.4742 Å and the angles 90.00°, 90.12° and 90.00°. The inequivalent atoms are Ta at (0.0000, 0.0000, 0.0000), Cd at (0.0000, 0.0000, 0.5000) and Te at (0.4991, 0.5000, 0.8196).

As for the crystal system: monoclinic.

***

No. 6
BaH2F8 after structural relaxation. Source: Alexandria, functional PBE-GGA.

The structure belongs to space group P1 (No. 1); the cell edges are 4.3595, 6.4687 and 6.7941 Å and the angles 61.98°, 84.76° and 79.74°. The inequivalent atoms are Ba at (0.0000, 0.0000, 0.0000), H at (0.3530, 0.2451, 0.1530), H at (0.3547, 0.3952, 0.8442), F at (0.0695, 0.9239, 0.5168), F at (0.0781, 0.4418, 0.4829), F at (0.1817, 0.4162, 0.9977), F at (0.4892, 0.0782, 0.2462), F at (0.4921, 0.3180, 0.7515), F at (0.5544, 0.7782, 0.0031), F at (0.8269, 0.8571, 0.7022) and F at (0.8342, 0.5575, 0.3031).

As for the crystal system: triclinic.

***

No. 7
Li12Rh2Au after structural relaxation. Source: Alexandria, functional PBE-GGA.

The structure belongs to space group Cmme (No. 67); the cell edges are 5.1337, 8.7430 and 22.4522 Å and the angles 90.00°, 90.00° and 90.00°. The inequivalent atoms are Li at (0.0000, 0.0746, 0.0555), Li at (0.0000, 0.0779, 0.5518), Li at (0.2381, 0.2500, 0.3618), Li at (0.2390, 0.2500, 0.8530), Li at (0.2500, 0.0000, 0.2034), Li at (0.2500, 0.0000, 0.3079), Rh at (0.0000, 0.2500, 0.2542), Rh at (0.0000, 0.2500, 0.7446) and Au at (0.0000, 0.2500, 0.9566).

For the formation energy, the calculation gives -0.0910 eV/atom. As for the crystal system: orthorhombic.

***

No. 8
SrTl2HgCl6 after structural relaxation. Source: Alexandria, functional PBE-GGA.

The structure belongs to space group R3 (No. 146, hexagonal axes); the cell edges are 7.6841, 7.6841 and 18.9421 Å and the angles 90.00°, 90.00° and 120.00°. The inequivalent atoms are Sr at (0.0000, 0.0000, 0.0000), Tl at (0.0000, 0.0000, 0.2792), Tl at (0.0000, 0.0000, 0.7759), Hg at (0.0000, 0.0000, 0.5005), Cl at (0.0814, 0.3353, 0.5708) and Cl at (0.0902, 0.7303, 0.0750).

As for the crystal system: trigonal.

***

No. 9
GeCSCl2 after structural relaxation. Source: Alexandria, functional PBE-GGA.

The structure belongs to space group P4/mmm (No. 123); the cell edges are 4.4990, 4.4990 and 4.2225 Å and the angles 90.00°, 90.00° and 90.00°. The inequivalent atoms are Ge at (0.0000, 0.0000, 0.0000), C at (0.5000, 0.5000, 0.5000), S at (0.5000, 0.5000, 0.0000) and Cl at (0.0000, 0.5000, 0.5000).

As for the crystal system: tetragonal.

***

No. 10
CdHg2 after structural relaxation. Source: Alexandria, functional PBE-GGA.

The structure belongs to space group P6/mmm (No. 191); the cell edges are 5.4034, 5.4034 and 3.0551 Å and the angles 90.00°, 90.00° and 120.00°. The inequivalent atoms are Cd at (0.0000, 0.0000, 0.0000) and Hg at (0.3333, 0.6667, 0.5000).

For the formation energy, the calculation gives 0.0523 eV/atom. As for the crystal system: hexagonal.

***

No. 11
Eu2DyHg after structural relaxation. Source: Alexandria, functional PBE-GGA.

The structure belongs to space group P4/mmm (No. 123); the cell edges are 3.7968, 3.7968 and 9.1772 Å and the angles 90.00°, 90.00° and 90.00°. The inequivalent atoms are Eu at (0.0000, 0.0000, 0.2149), Dy at (0.5000, 0.5000, 0.5000) and Hg at (0.5000, 0.5000, 0.0000).

For the formation energy, the calculation gives -0.1853 eV/atom. As for the crystal system: tetragonal.

***

No. 12
NbSeO2F after structural relaxation. Source: Alexandria, functional PBE-GGA.

The structure belongs to space group P4/mmm (No. 123); the cell edges are 4.0237, 4.0237 and 4.3609 Å and the angles 90.00°, 90.00° and 90.00°. The inequivalent atoms are Nb at (0.0000, 0.0000, 0.0000), Se at (0.5000, 0.5000, 0.5000), O at (0.0000, 0.5000, 0.0000) and F at (0.0000, 0.0000, 0.5000).

As for the crystal system: tetragonal.

***

No. 13
Zn2TcMo after structural relaxation. Source: Alexandria, functional PBE-GGA.

The structure belongs to space group P4/mmm (No. 123); the cell edges are 4.7086, 4.7086 and 2.6375 Å and the angles 90.00°, 90.00° and 90.00°. The inequivalent atoms are Zn at (0.0000, 0.5000, 0.0000), Tc at (0.0000, 0.0000, 0.5000) and Mo at (0.5000, 0.5000, 0.5000).

For the formation energy, the calculation gives 0.2819 eV/atom. As for the crystal system: tetragonal.

***

No. 14
Er2RuAu after structural relaxation. Source: Alexandria, functional PBE-GGA.

The structure belongs to space group P4/mmm (No. 123); the cell edges are 3.4066, 3.4066 and 7.2296 Å and the angles 90.00°, 90.00° and 90.00°. The inequivalent atoms are Er at (0.0000, 0.0000, 0.2294), Ru at (0.5000, 0.5000, 0.0000) and Au at (0.5000, 0.5000, 0.5000).

For the formation energy, the calculation gives -0.6970 eV/atom. As for the crystal system: tetragonal.

***

No. 15
CeThGe2 after structural relaxation. Source: Alexandria, functional PBE-GGA.

The structure belongs to space group R-3m (No. 166, hexagonal axes); the cell edges are 4.2661, 4.2661 and 20.9163 Å and the angles 90.00°, 90.00° and 120.00°. The inequivalent atoms are Ce at (0.0000, 0.0000, 0.0000), Th at (0.0000, 0.0000, 0.5000) and Ge at (0.0000, 0.0000, 0.2526).

For the formation energy, the calculation gives -0.7098 eV/atom. As for the crystal system: trigonal.

***

No. 16
KY2ReO8 after structural relaxation. Source: Alexandria, functional PBE-GGA.

The structure belongs to space group P-1 (No. 2); the cell edges are 4.6159, 4.8992 and 7.6770 Å and the angles 92.84°, 97.20° and 94.49°. The inequivalent atoms are K at (0.0000, 0.0000, 0.0000), Y at (0.4206, 0.4783, 0.7145), Re at (0.0000, 0.0000, 0.5000), O at (0.1070, 0.7207, 0.3450), O at (0.2480, 0.8964, 0.7006), O at (0.3064, 0.2496, 0.4488) and O at (0.3366, 0.4888, 0.0064).

As for the crystal system: triclinic.

***

No. 17
La2TeCl after structural relaxation. Source: Alexandria, functional PBE-GGA.

The structure belongs to space group Pmmm (No. 47); the cell edges are 4.2064, 4.6425 and 6.4805 Å and the angles 90.00°, 90.00° and 90.00°. The inequivalent atoms are La at (0.0000, 0.0000, 0.0000), La at (0.5000, 0.0000, 0.5000), Te at (0.0000, 0.5000, 0.5000) and Cl at (0.5000, 0.5000, 0.0000).

As for the crystal system: orthorhombic.

***

No. 18
RbNb2TlAu after structural relaxation. Source: Alexandria, functional PBE-GGA.

The structure belongs to space group P4/mmm (No. 123); the cell edges are 5.3815, 5.3815 and 6.3906 Å and the angles 90.00°, 90.00° and 90.00°. The inequivalent atoms are Rb at (0.0000, 0.0000, 0.0000), Nb at (0.0000, 0.5000, 0.5000), Tl at (0.0000, 0.0000, 0.5000) and Au at (0.5000, 0.5000, 0.0000).

For the formation energy, the calculation gives 1.7498 eV/atom. As for the crystal system: tetragonal.

***

No. 19
KTl2BiPd after structural relaxation. Source: Alexandria, functional PBE-GGA.

The structure belongs to space group P4/mmm (No. 123); the cell edges are 5.4219, 5.4219 and 5.6690 Å and the angles 90.00°, 90.00° and 90.00°. The inequivalent atoms are K at (0.0000, 0.0000, 0.0000), Tl at (0.0000, 0.5000, 0.5000), Bi at (0.5000, 0.5000, 0.0000) and Pd at (0.5000, 0.5000, 0.5000).

For the formation energy, the calculation gives -0.1071 eV/atom. As for the crystal system: tetragonal.

***

No. 20
Zr3TaNi after structural relaxation. Source: Alexandria, functional PBE-GGA.

The structure belongs to space group Pm-3m (No. 221); the cell edges are 4.8103, 4.8103 and 4.8103 Å and the angles 90.00°, 90.00° and 90.00°. The inequivalent atoms are Zr at (0.0000, 0.0000, 0.5000), Ta at (0.5000, 0.5000, 0.5000) and Ni at (0.0000, 0.0000, 0.0000).

For the formation energy, the calculation gives 0.5247 eV/atom. As for the crystal system: cubic.

***

No. 21
Sr3InAs after structural relaxation. Source: Alexandria, functional PBE-GGA.

The structure belongs to space group Pm-3m (No. 221); the cell edges are 5.9604, 5.9604 and 5.9604 Å and the angles 90.00°, 90.00° and 90.00°. The inequivalent atoms are Sr at (0.0000, 0.0000, 0.5000), In at (0.5000, 0.5000, 0.5000) and As at (0.0000, 0.0000, 0.0000).

For the formation energy, the calculation gives -0.5574 eV/atom. As for the crystal system: cubic.

***

No. 22
LiSeBr3 after structural relaxation. Source: Alexandria, functional PBE-GGA.

The structure belongs to space group Pm-3m (No. 221); the cell edges are 5.4487, 5.4487 and 5.4487 Å and the angles 90.00°, 90.00° and 90.00°. The inequivalent atoms are Li at (0.0000, 0.0000, 0.0000), Se at (0.5000, 0.5000, 0.5000) and Br at (0.0000, 0.5000, 0.5000).

As for the crystal system: cubic.

***

No. 23
Mg6NbCu after structural relaxation. Source: Alexandria, functional PBE-GGA.

The structure belongs to space group Amm2 (No. 38); the cell edges are 4.7997, 5.9886 and 10.9691 Å and the angles 90.00°, 90.00° and 90.00°. The inequivalent atoms are Mg at (0.0000, 0.0000, 0.0000), Mg at (0.0000, 0.0000, 0.4842), Mg at (0.0000, 0.2449, 0.7555), Mg at (0.5000, 0.2499, 0.0977), Nb at (0.5000, 0.0000, 0.8494) and Cu at (0.5000, 0.0000, 0.3335).

For the formation energy, the calculation gives 0.1752 eV/atom. As for the crystal system: orthorhombic.

***

No. 24
Tm2In4Ga after structural relaxation. Source: Alexandria, functional PBE-GGA.

The structure belongs to space group Fmmm (No. 69); the cell edges are 6.0852, 9.9328 and 12.1566 Å and the angles 90.00°, 90.00° and 90.00°. The inequivalent atoms are Tm at (0.0000, 0.0000, 0.1390), In at (0.2500, 0.2500, 0.0000), In at (0.2500, 0.2500, 0.2500) and Ga at (0.0000, 0.0000, 0.5000).

For the formation energy, the calculation gives -0.1290 eV/atom. As for the crystal system: orthorhombic.

***

No. 25
Nd3Ho6Tm2Pu after structural relaxation. Source: Alexandria, functional PBE-GGA.

The structure belongs to space group C2/m (No. 12); the cell edges are 6.1448, 10.6444 and 11.6979 Å and the angles 90.00°, 100.10° and 90.00°. The inequivalent atoms are Nd at (0.0000, 0.0000, 0.0000), Nd at (0.0000, 0.3327, 0.0000), Ho at (0.2459, 0.3354, 0.7437), Ho at (0.2481, 0.5000, 0.2562), Tm at (0.0000, 0.1666, 0.5000) and Pu at (0.0000, 0.5000, 0.5000).

For the formation energy, the calculation gives 0.0448 eV/atom. As for the crystal system: monoclinic.

***

Number 1: total energy -0.2937 Ry/atom. Number 2: total energy -0.5714 Ry/atom. Number 3: total energy -0.3150 Ry/atom. Number 4: total energy -0.1948 Ry/atom. Number 5: total energy -0.3534 Ry/atom. Number 6: total energy -0.2751 Ry/atom. Number 7: total energy -0.2073 Ry/atom. Number 8: total energy -0.2264 Ry/atom. Number 9: total energy -0.2510 Ry/atom. Number 10: total energy -0.0334 Ry/atom. Number 11: total energy -0.4813 Ry/atom. Number 12: total energy -0.4740 Ry/atom. Number 13: total energy -0.4156 Ry/atom. Number 14: total energy -0.4496 Ry/atom. Number 15: total energy -0.4672 Ry/atom. Number 16: total energy -0.5682 Ry/atom. Number 17: total energy -0.3658 Ry/atom. Number 18: total energy -0.2646 Ry/atom. Number 19: total energy -0.2270 Ry/atom. Number 20: total energy -0.5976 Ry/atom. Number 21: total energy -0.2237 Ry/atom. Number 22: total energy -0.1802 Ry/atom. Number 23: total energy -0.2052 Ry/atom. Number 24: total energy -0.2502 Ry/atom. Number 25: total energy -0.3951 Ry/atom.